<i>
First-principles (PBE) data for Ge2Sb2Se after structural relaxation, as listed in Alexandria.

The value obtained for the total moment is 0.00 μB/atom. Its crystal system is tetragonal.

The structure belongs to space group I4/mmm (No. 139); the cell edges are 4.162, 4.162 and 14.805 Å and the angles 90.00°, 90.00° and 90.00°. The inequivalent atoms are Ge at (0.000, 0.000, 0.089), Sb at (0.000, 0.500, 0.250) and Se at (0.000, 0.000, 0.500).

=====

<ii>
First-principles (PBE) data for Ge2Sb2Se after structural relaxation, as listed in Alexandria.

The value obtained for the total moment is 0.00 μB/atom. Its crystal system is tetragonal.

The structure belongs to space group I4/mmm (No. 139); the cell edges are 3.944, 3.944 and 15.414 Å and the angles 90.00°, 90.00° and 90.00°. The inequivalent atoms are Ge at (0.000, 0.500, 0.250), Sb at (0.000, 0.000, 0.101) and Se at (0.000, 0.000, 0.500).

=====

Most stable: <ii>

=====

<i>
First-principles (PBE) data for Ge3SbSe after structural relaxation, as listed in Alexandria.

The value obtained for the total moment is 0.00 μB/atom. Its crystal system is cubic.

The structure belongs to space group Pm-3m (No. 221); the cell edges are 5.155, 5.155 and 5.155 Å and the angles 90.00°, 90.00° and 90.00°. The inequivalent atoms are Ge at (0.000, 0.000, 0.500), Sb at (0.500, 0.500, 0.500) and Se at (0.000, 0.000, 0.000).

=====

<ii>
First-principles (PBE) data for Ge3SbSe after structural relaxation, as listed in Alexandria.

The value obtained for the total moment is 0.00 μB/atom. Its crystal system is cubic.

The structure belongs to space group Pm-3m (No. 221); the cell edges are 5.368, 5.368 and 5.368 Å and the angles 90.00°, 90.00° and 90.00°. The inequivalent atoms are Ge at (0.000, 0.000, 0.500), Sb at (0.000, 0.000, 0.000) and Se at (0.500, 0.500, 0.500).

=====

Most stable: <i>

=====

<i>
First-principles (PBE) data for GeSbSe3 after structural relaxation, as listed in Alexandria.

The value obtained for the total moment is 0.00 μB/atom. Its crystal system is monoclinic.

The structure belongs to space group P2_1/m (No. 11); the cell edges are 7.388, 4.821 and 9.602 Å and the angles 90.00°, 104.56° and 90.00°. The inequivalent atoms are Ge at (0.094, 0.250, 0.119), Sb at (0.295, 0.250, 0.546), Se at (0.024, 0.750, 0.667), Se at (0.205, 0.750, 0.076) and Se at (0.492, 0.250, 0.352).

=====

<ii>
First-principles (PBE) data for GeSbSe3 after structural relaxation, as listed in Alexandria.

The value obtained for the total moment is 0.00 μB/atom. Its crystal system is cubic.

The structure belongs to space group Pm-3m (No. 221); the cell edges are 4.994, 4.994 and 4.994 Å and the angles 90.00°, 90.00° and 90.00°. The inequivalent atoms are Ge at (0.000, 0.000, 0.000), Sb at (0.500, 0.500, 0.500) and Se at (0.000, 0.000, 0.500).

=====

<iii>
First-principles (PBE) data for GeSbSe3 after structural relaxation, as listed in Alexandria.

The value obtained for the total moment is 0.00 μB/atom. Its crystal system is cubic.

The structure belongs to space group Pm-3m (No. 221); the cell edges are 5.292, 5.292 and 5.292 Å and the angles 90.00°, 90.00° and 90.00°. The inequivalent atoms are Ge at (0.000, 0.000, 0.000), Sb at (0.500, 0.500, 0.500) and Se at (0.000, 0.500, 0.500).

=====

Most stable: <i>

=====

<i>
First-principles (PBE) data for GeSb2Se after structural relaxation, as listed in Alexandria.

The value obtained for the total moment is 0.00 μB/atom. Its crystal system is cubic.

The structure belongs to space group Fm-3m (No. 225); the cell edges are 7.219, 7.219 and 7.219 Å and the angles 90.00°, 90.00° and 90.00°. The inequivalent atoms are Ge at (0.000, 0.000, 0.000), Sb at (0.250, 0.250, 0.250) and Se at (0.000, 0.000, 0.500).

=====

<ii>
First-principles (PBE) data for GeSb2Se after structural relaxation, as listed in Alexandria.

The value obtained for the total moment is 0.00 μB/atom. Its crystal system is tetragonal.

The structure belongs to space group I-42d (No. 122); the cell edges are 7.184, 7.184 and 9.645 Å and the angles 90.00°, 90.00° and 90.00°. The inequivalent atoms are Ge at (0.000, 0.000, 0.000), Sb at (0.233, 0.250, 0.125) and Se at (0.000, 0.000, 0.500).

=====

Most stable: <ii>

=====

<i>
First-principles (PBE) data for GeSb3Se6 after structural relaxation, as listed in Alexandria.

The value obtained for the total moment is 0.00 μB/atom. Its crystal system is trigonal.

The structure belongs to space group R3 (No. 146, hexagonal axes); the cell edges are 7.0310, 7.0310 and 22.1844 Å and the angles 90.00°, 90.00° and 120.00°. The inequivalent atoms are Ge at (0.0000, 0.0000, 0.0000), Sb at (0.0000, 0.0000, 0.3217), Sb at (0.0000, 0.0000, 0.4935), Sb at (0.0000, 0.0000, 0.8223), Se at (0.0460, 0.3339, 0.0553) and Se at (0.0545, 0.7114, 0.5587).

=====

<ii>
First-principles (PBE) data for GeSb3Se6 after structural relaxation, as listed in Alexandria.

The value obtained for the total moment is 0.00 μB/atom. Its crystal system is orthorhombic.

The structure belongs to space group Cmc2_1 (No. 36); the cell edges are 11.320, 14.374 and 7.063 Å and the angles 90.00°, 90.00° and 90.00°. The inequivalent atoms are Ge at (0.000, 0.201, 0.000), Sb at (0.000, 0.407, 0.315), Sb at (0.191, 0.085, 0.499), Se at (0.000, 0.045, 0.132), Se at (0.000, 0.211, 0.663), Se at (0.161, 0.461, 0.675) and Se at (0.169, 0.274, 0.162).

=====

Most stable: <i>

=====

<i>
First-principles (PBE) data for SiGeSb3 after structural relaxation, as listed in Alexandria.

The value obtained for the total moment is 0.00 μB/atom. Its crystal system is cubic.

The structure belongs to space group Pm-3m (No. 221); the cell edges are 5.203, 5.203 and 5.203 Å and the angles 90.00°, 90.00° and 90.00°. The inequivalent atoms are Si at (0.000, 0.000, 0.000), Ge at (0.500, 0.500, 0.500) and Sb at (0.000, 0.000, 0.500).

=====

<ii>
First-principles (PBE) data for SiGeSb3 after structural relaxation, as listed in Alexandria.

The value obtained for the total moment is 0.00 μB/atom. Its crystal system is cubic.

The structure belongs to space group Pm-3m (No. 221); the cell edges are 5.312, 5.312 and 5.312 Å and the angles 90.00°, 90.00° and 90.00°. The inequivalent atoms are Si at (0.000, 0.000, 0.000), Ge at (0.500, 0.500, 0.500) and Sb at (0.000, 0.500, 0.500).

=====

Most stable: <i>